Record 1
This record from Alexandria via LeMat-Bulk describes a geometry-optimized Ba2SrCa structure. The functional is GGA-PBE.

CIF file:
```
data_Ba2SrCa
_chemical_formula_sum 'Ba2 Sr1 Ca1'
_symmetry_space_group_name_H-M 'P 1'
_symmetry_Int_Tables_number 1
_symmetry_space_group_name_Hall 'P 1'
_cell_length_a 14.231
_cell_length_b 14.231
_cell_length_c 14.231
_cell_angle_alpha 17.26
_cell_angle_beta 17.26
_cell_angle_gamma 17.26
loop_
_atom_site_label
_atom_site_fract_x
_atom_site_fract_y
_atom_site_fract_z
Sr1 0.750 0.750 0.750
Ca1 0.250 0.250 0.250
Ba1 0.997 0.997 0.997
Ba2 0.503 0.503 0.503
```

Results
Excess energy over the best structure of this formula in the dataset, meV per atom: 22
Formation enthalpy at 0 K, eV/atom: 0.041


Record 2
This record from Alexandria via LeMat-Bulk describes a geometry-optimized SnPRh2 structure. The functional is GGA-PBE.

CIF file:
```
data_SnPRh2
_chemical_formula_sum 'Sn1 P1 Rh2'
_symmetry_space_group_name_H-M 'P 1'
_symmetry_Int_Tables_number 1
_symmetry_space_group_name_Hall 'P 1'
_cell_length_a 4.459
_cell_length_b 4.459
_cell_length_c 4.459
_cell_angle_alpha 60.00
_cell_angle_beta 60.00
_cell_angle_gamma 60.00
loop_
_atom_site_label
_atom_site_fract_x
_atom_site_fract_y
_atom_site_fract_z
Sn1 0.500 0.500 0.500
Rh1 0.250 0.250 0.250
P1 0.000 0.000 0.000
Rh2 0.750 0.750 0.750
```

Results
Formation enthalpy at 0 K, eV/atom: -0.116


Record 3
This record from Alexandria via LeMat-Bulk describes a geometry-optimized BaMoP3 structure. The functional is GGA-PBE.

CIF file:
```
data_BaMoP3
_chemical_formula_sum 'Ba1 Mo1 P3'
_symmetry_space_group_name_H-M 'P 1'
_symmetry_Int_Tables_number 1
_symmetry_space_group_name_Hall 'P 1'
_cell_length_a 4.821
_cell_length_b 4.821
_cell_length_c 4.821
_cell_angle_alpha 90.00
_cell_angle_beta 90.00
_cell_angle_gamma 90.00
loop_
_atom_site_label
_atom_site_fract_x
_atom_site_fract_y
_atom_site_fract_z
P1 0.000 0.500 0.000
Mo1 0.000 0.000 0.000
Ba1 0.500 0.500 0.500
P2 0.500 0.000 0.000
P3 0.000 0.000 0.500
```

Results
Formation enthalpy at 0 K, eV/atom: -0.343


Record 4
This record from Alexandria via LeMat-Bulk describes a geometry-optimized La2AsIr structure. The functional is GGA-PBE.

CIF file:
```
data_La2AsIr
_chemical_formula_sum 'La4 As2 Ir2'
_symmetry_space_group_name_H-M 'P 1'
_symmetry_Int_Tables_number 1
_symmetry_space_group_name_Hall 'P 1'
_cell_length_a 7.586
_cell_length_b 7.586
_cell_length_c 6.755
_cell_angle_alpha 55.84
_cell_angle_beta 55.84
_cell_angle_gamma 90.00
loop_
_atom_site_label
_atom_site_fract_x
_atom_site_fract_y
_atom_site_fract_z
Ir1 0.000 0.000 0.000
La1 0.875 0.896 0.750
La2 0.646 0.125 0.250
As1 0.500 0.500 0.000
As2 0.250 0.750 0.500
La3 0.104 0.625 0.250
La4 0.375 0.354 0.750
Ir2 0.750 0.250 0.500
```

Results
Formation enthalpy at 0 K, eV/atom: -0.726


Record 5
This record from Alexandria via LeMat-Bulk describes a geometry-optimized KCaEuTl structure. The functional is GGA-PBE.

CIF file:
```
data_KCaEuTl
_chemical_formula_sum 'K1 Ca1 Eu1 Tl1'
_symmetry_space_group_name_H-M 'P 1'
_symmetry_Int_Tables_number 1
_symmetry_space_group_name_Hall 'P 1'
_cell_length_a 5.849
_cell_length_b 5.849
_cell_length_c 5.849
_cell_angle_alpha 60.00
_cell_angle_beta 60.00
_cell_angle_gamma 60.00
loop_
_atom_site_label
_atom_site_fract_x
_atom_site_fract_y
_atom_site_fract_z
K1 0.000 0.000 0.000
Ca1 0.750 0.750 0.750
Eu1 0.250 0.250 0.250
Tl1 0.500 0.500 0.500
```

Results
Formation enthalpy at 0 K, eV/atom: -0.061


Record 6
This record from Alexandria via LeMat-Bulk describes a geometry-optimized Ca2Zn2Bi structure. The functional is GGA-PBE.

CIF file:
```
data_Ca2Zn2Bi
_chemical_formula_sum 'Ca4 Zn4 Bi2'
_symmetry_space_group_name_H-M 'P 1'
_symmetry_Int_Tables_number 1
_symmetry_space_group_name_Hall 'P 1'
_cell_length_a 7.649
_cell_length_b 7.649
_cell_length_c 4.473
_cell_angle_alpha 90.00
_cell_angle_beta 90.00
_cell_angle_gamma 90.00
loop_
_atom_site_label
_atom_site_fract_x
_atom_site_fract_y
_atom_site_fract_z
Ca1 0.178 0.678 0.500
Ca2 0.678 0.822 0.500
Zn1 0.383 0.883 0.000
Zn2 0.883 0.617 0.000
Ca3 0.322 0.178 0.500
Ca4 0.822 0.322 0.500
Zn3 0.617 0.117 0.000
Bi1 0.000 0.000 0.000
Bi2 0.500 0.500 0.000
Zn4 0.117 0.383 0.000
```

Results
Excess energy over the best structure of this formula in the dataset, meV per atom: 0
Formation enthalpy at 0 K, eV/atom: -0.397


Record 7
This record from Alexandria via LeMat-Bulk describes a geometry-optimized K2AlPd2 structure. The functional is GGA-PBE.

CIF file:
```
data_K2AlPd2
_chemical_formula_sum 'K4 Al2 Pd4'
_symmetry_space_group_name_H-M 'P 1'
_symmetry_Int_Tables_number 1
_symmetry_space_group_name_Hall 'P 1'
_cell_length_a 6.542
_cell_length_b 6.542
_cell_length_c 5.662
_cell_angle_alpha 90.00
_cell_angle_beta 90.00
_cell_angle_gamma 90.00
loop_
_atom_site_label
_atom_site_fract_x
_atom_site_fract_y
_atom_site_fract_z
Al1 0.000 0.000 0.000
K1 0.323 0.177 0.500
Al2 0.500 0.500 0.000
K2 0.177 0.677 0.500
Pd1 0.147 0.353 0.000
Pd2 0.647 0.147 0.000
Pd3 0.853 0.647 0.000
Pd4 0.353 0.853 0.000
K3 0.823 0.323 0.500
K4 0.677 0.823 0.500
```

Results
Formation enthalpy at 0 K, eV/atom: -0.169


Record 8
This record from Alexandria via LeMat-Bulk describes a geometry-optimized AcGdBr2 structure. The functional is GGA-PBE.

CIF file:
```
data_AcGdBr2
_chemical_formula_sum 'Ac1 Gd1 Br2'
_symmetry_space_group_name_H-M 'P 1'
_symmetry_Int_Tables_number 1
_symmetry_space_group_name_Hall 'P 1'
_cell_length_a 3.845
_cell_length_b 3.845
_cell_length_c 10.754
_cell_angle_alpha 79.70
_cell_angle_beta 79.70
_cell_angle_gamma 60.00
loop_
_atom_site_label
_atom_site_fract_x
_atom_site_fract_y
_atom_site_fract_z
Br1 0.898 0.898 0.307
Ac1 0.000 0.000 0.000
Br2 0.102 0.102 0.693
Gd1 0.500 0.500 0.500
```

Results
Energy relative to the elements, uncorrected, meV per atom: -1051


Number 1: ρ 3.02 g/cm3. Number 2: ρ 9.41 g/cm3. Number 3: ρ 4.83 g/cm3. Number 4: ρ 7.66 g/cm3. Number 5: ρ 5.11 g/cm3. Number 6: ρ 5.33 g/cm3. Number 7: ρ 4.36 g/cm3. Number 8: ρ 6.70 g/cm3.